1.
4
Lattice="4.974 0.003 0.029 3.533 3.502 0.029 6.496 2.676 6.128" Properties=species:S:1:pos:R:3 comment="BaZrSi2 | Alexandria | GGA-PBE | optimized geometry" formation_energy_uncorrected_ev_per_atom=-0.328 energy_ev_per_atom=-5.66 dos_at_fermi_per_ev_fu=3.7 pbc="T T T"
Zr 6.941 2.860 1.569
Ba 10.189 4.198 4.633
Si 4.434 1.827 2.214
Si 0.941 0.388 0.865

2.
4
Lattice="-2.313 4.587 -2.370 -4.712 -1.358 -2.820 1.778 -1.116 5.253" Properties=species:S:1:pos:R:3 comment="BaZr2Si | Alexandria | GGA-PBE | optimized geometry" formation_energy_uncorrected_ev_per_atom=0.360 energy_ev_per_atom=-5.75 dos_at_fermi_per_ev_fu=4.8 pbc="T T T"
Zr 0.000 0.000 0.000
Si -2.024 2.543 0.144
Zr -3.223 -0.430 -0.081
Ba -3.513 1.614 -2.595

3.
4
Lattice="-0.713 -2.934 -2.307 3.049 0.665 -1.788 6.483 -3.539 2.498" Properties=species:S:1:pos:R:3 comment="BaZrSi2 | Alexandria | GGA-PBE | optimized geometry" formation_energy_uncorrected_ev_per_atom=-0.401 energy_ev_per_atom=-5.73 dos_at_fermi_per_ev_fu=3.0 pbc="T T T"
Si 3.319 0.335 -1.452
Si 4.496 -1.107 0.019
Zr 2.027 -2.186 -0.976
Ba 6.792 -3.623 -0.621

4.
4
Lattice="-2.231 1.739 -2.544 1.736 -1.885 -2.811 -5.400 -5.959 0.661" Properties=species:S:1:pos:R:3 comment="BaZrSi2 | Alexandria | GGA-PBE | optimized geometry" formation_energy_uncorrected_ev_per_atom=0.059 energy_ev_per_atom=-5.27 dos_at_fermi_per_ev_fu=3.2 pbc="T T T"
Si -2.204 -2.233 -2.438
Ba -4.454 -4.716 -2.162
Si -0.086 -0.095 0.011
Zr -1.849 -2.041 0.227

5.
4
Lattice="7.442 0.004 0.016 -2.836 5.429 -0.004 1.771 0.927 3.044" Properties=species:S:1:pos:R:3 comment="Ba2ZrSi | Alexandria | GGA-PBE | optimized geometry" formation_energy_uncorrected_ev_per_atom=0.434 energy_ev_per_atom=-4.02 dos_at_fermi_per_ev_fu=3.6 pbc="T T T"
Zr 2.303 2.717 0.006
Si -0.532 3.178 1.520
Ba 4.607 0.466 1.530
Ba 0.000 0.000 0.000

6.
4
Lattice="9.580 -0.015 -0.009 8.494 4.429 -0.009 8.494 2.075 3.913" Properties=species:S:1:pos:R:3 comment="Ba2ZrSi | Alexandria | GGA-PBE | optimized geometry" formation_energy_uncorrected_ev_per_atom=-0.054 energy_ev_per_atom=-4.51 dos_at_fermi_per_ev_fu=2.2 pbc="T T T"
Zr 20.898 5.104 3.064
Si 12.441 3.038 1.824
Ba 5.702 1.393 0.836
Ba 0.811 0.198 0.119

7.
3
Lattice="5.025 0.000 0.000 2.513 4.352 0.000 2.513 1.451 4.103" Properties=species:S:1:pos:R:3 comment="BaZrSi | Alexandria | GGA-PBE | optimized geometry" formation_energy_uncorrected_ev_per_atom=0.300 energy_ev_per_atom=-5.00 dos_at_fermi_per_ev_fu=4.2 pbc="T T T"
Si 7.538 4.352 3.077
Zr 0.000 0.000 0.000
Ba 5.025 2.901 2.052

8.
4
Lattice="-4.464 5.199 9.127 -4.435 1.613 10.392 -1.312 3.762 10.695" Properties=species:S:1:pos:R:3 comment="Ba2ZrSi | Alexandria | GGA-PBE | optimized geometry" formation_energy_uncorrected_ev_per_atom=0.585 energy_ev_per_atom=-3.87 dos_at_fermi_per_ev_fu=5.4 pbc="T T T"
Zr -7.658 7.931 22.660
Si -2.553 2.644 7.553
Ba -5.217 5.403 15.438
Ba -10.099 10.459 29.883